--- P ---
Compound: TlTePt2
Source: the Alexandria database
Functional: PBE
Structure: relaxed Values from VASP.

Quantum ESPRESSO input file:
```
&SYSTEM
  ibrav = 0, nat = 4, ntyp = 3
/
ATOMIC_SPECIES
Tl 204.38 Tl.upf
Te 127.60 Te.upf
Pt 195.08 Pt.upf
ATOMIC_POSITIONS angstrom
Tl 0.0000 0.0000 0.0000
Te 1.8131 1.8131 3.9690
Pt 0.0000 0.0000 2.9767
Pt 1.8131 1.8131 1.3747
CELL_PARAMETERS angstrom
3.6262 0.0000 0.0000
0.0000 3.6262 0.0000
0.0000 0.0000 6.9332
```

SG   P4mm, No. 99
Calculated volume   22.8 A^3/atom
Crystal system   tetragonal

---

--- Q ---
Compound: TlTePt2
Source: the Alexandria database
Functional: PBE
Structure: relaxed Values from VASP.

Quantum ESPRESSO input file:
```
&SYSTEM
  ibrav = 0, nat = 8, ntyp = 3
/
ATOMIC_SPECIES
Tl 204.38 Tl.upf
Te 127.60 Te.upf
Pt 195.08 Pt.upf
ATOMIC_POSITIONS angstrom
Tl 0.0000 0.0000 0.0000
Tl 3.3840 2.0078 0.0000
Te -1.1962 2.0078 3.2481
Te 2.1878 0.0000 3.2481
Pt -0.0997 0.0000 4.7828
Pt 1.0914 2.0078 1.7135
Pt 3.2842 2.0078 4.7828
Pt 4.4753 0.0000 1.7135
CELL_PARAMETERS angstrom
6.7680 0.0000 0.0000
0.0000 4.0155 0.0000
-2.3924 0.0000 6.4962
```

SG   C2/m, No. 12
Calculated volume   22.1 A^3/atom
Crystal system   monoclinic

---

Going by the energies, P is most stable and the next is 11 meV per atom up.